Record 1
12
Lattice="3.6248 -3.2374 0.0000 3.6248 3.2374 0.0000 -0.9031 0.0000 7.0804" Properties=species:S:1:pos:R:3 comment="PmUCr2O8 | Alexandria via LeMat-Bulk | GGA+U | relaxed" sg="No. 12" total_energy_ha_per_atom=-0.3065 pbc="T T T"
Pm 0.0000 0.0000 0.0000
U -0.4516 0.0000 3.5402
Cr 2.6310 0.0000 5.5843
Cr 3.7155 0.0000 1.4961
O 2.9173 1.8600 5.2056
O 3.4292 1.8600 1.8748
O 1.4675 0.0000 3.9390
O 1.4953 0.0000 7.0723
O 4.8512 0.0000 0.0081
O 4.8790 0.0000 3.1414
O 2.9173 -1.8600 5.2056
O 3.4292 -1.8600 1.8748

---

Record 2
10
Lattice="0.0000 4.2629 4.2629 4.2629 0.0000 4.2629 4.2629 4.2629 0.0000" Properties=species:S:1:pos:R:3 comment="KCaNdWO6 | Alexandria via LeMat-Bulk | GGA+U | relaxed" sg="No. 216" total_energy_ha_per_atom=-0.2563 pbc="T T T"
K 0.0000 0.0000 0.0000
Ca 4.2629 4.2629 4.2629
Nd 2.1314 2.1314 2.1314
W 6.3943 6.3943 6.3943
O 6.3943 6.3943 4.4450
O 6.3943 4.4450 6.3943
O 8.3436 6.3943 6.3943
O 4.4450 6.3943 6.3943
O 6.3943 8.3436 6.3943
O 6.3943 6.3943 8.3436

---

The following theoretical density values (in g cm⁻³) correspond, in order, to the records above: 6.15 5.39.